1.
# Na4TiRh3O8, relaxed, DFT PBE
# * total magnetization: 0.6 μB per cell
# * E_form (uncorrected): -1435 meV/atom
# * electronic total energy: -97.86 eV/cell
data_Na4TiRh3O8
_symmetry_space_group_name_H-M 'P 1'
_symmetry_Int_Tables_number 1
_cell_length_a 6.265
_cell_length_b 6.428
_cell_length_c 6.265
_cell_angle_alpha 119.16
_cell_angle_beta 120.00
_cell_angle_gamma 90.00
loop_
_symmetry_equiv_pos_as_xyz
'x,y,z'
loop_
_atom_site_label
_atom_site_fract_x
_atom_site_fract_y
_atom_site_fract_z
Na1 0.500 0.000 0.000
Na2 0.500 0.000 0.500
Na3 0.000 0.000 0.000
Na4 0.000 0.000 0.500
Ti1 0.000 0.500 0.000
Rh1 0.500 0.500 0.000
Rh2 0.500 0.500 0.500
Rh3 0.000 0.500 0.500
O1 0.227 0.703 0.976
O2 0.227 0.703 0.454
O3 0.267 0.301 0.534
O4 0.749 0.703 0.976
O5 0.251 0.297 0.024
O6 0.733 0.699 0.466
O7 0.773 0.297 0.546
O8 0.773 0.297 0.024

2.
# KAgTe2, relaxed, DFT PBE
# * total magnetization: 0.0 μB per cell
# * E_form (uncorrected): 130 meV/atom
# * electronic total energy: -9.71 eV/cell
data_KAgTe2
_symmetry_space_group_name_H-M 'P 1'
_symmetry_Int_Tables_number 1
_cell_length_a 12.686
_cell_length_b 12.686
_cell_length_c 12.686
_cell_angle_alpha 15.02
_cell_angle_beta 15.02
_cell_angle_gamma 15.02
loop_
_symmetry_equiv_pos_as_xyz
'x,y,z'
loop_
_atom_site_label
_atom_site_fract_x
_atom_site_fract_y
_atom_site_fract_z
Ag1 0.499 0.499 0.499
K1 0.756 0.756 0.756
Te1 0.012 0.012 0.012
Te2 0.233 0.233 0.233

> Number 2 is which compound?

KAgTe2